1.
The following is a GGA-PBE calculation of a relaxed CaCeSmN3 crystal, from the Alexandria database.

Output
Symmetry: P2_1/m, No. 11
Final energy: -7.426 eV/atom
Total magnetization: 0.00 μB per formula unit
Formation energy (no corrections): -1.1540 eV/atom

abc: 6.087 3.413 9.497
angles: 90.00 92.91 90.00
Positions (direct):
Ca1 0.235 0.250 0.438
Ca2 0.765 0.750 0.562
Ce1 0.280 0.750 0.757
Ce2 0.720 0.250 0.243
Sm1 0.193 0.750 0.118
Sm2 0.807 0.250 0.882
N1 0.034 0.250 0.666
N2 0.218 0.250 0.957
N3 0.482 0.750 0.315
N4 0.518 0.250 0.685
N5 0.782 0.750 0.043
N6 0.966 0.750 0.334



2.
The following is a GGA-PBE calculation of a relaxed CaCe2Sm3N6 crystal, from the Alexandria database.

Output
Symmetry: C2/m, No. 12
Final energy: -7.921 eV/atom
Total magnetization: 0.00 μB per formula unit
Formation energy (no corrections): -1.4226 eV/atom

abc: 7.928 7.928 7.163
angles: 103.27 103.27 26.14
Positions (direct):
Ca1 0.000 0.000 0.000
Ce1 0.336 0.336 0.672
Ce2 0.664 0.664 0.328
Sm1 0.000 0.000 0.500
Sm2 0.335 0.335 0.165
Sm3 0.665 0.665 0.835
N1 0.169 0.169 0.579
N2 0.170 0.170 0.093
N3 0.493 0.493 0.737
N4 0.507 0.507 0.263
N5 0.830 0.830 0.907
N6 0.831 0.831 0.421



3.
The following is a GGA-PBE calculation of a relaxed CaCe2SmN4 crystal, from the Alexandria database.

Output
Symmetry: P2/m, No. 10
Final energy: -7.884 eV/atom
Total magnetization: 0.49 μB per formula unit
Formation energy (no corrections): -1.3979 eV/atom

abc: 6.141 3.581 6.190
angles: 90.00 109.44 90.00
Positions (direct):
Ca1 0.000 0.000 0.000
Ce1 0.500 0.000 0.500
Ce2 0.500 0.500 0.000
Sm1 0.000 0.500 0.500
N1 0.263 0.000 0.750
N2 0.272 0.500 0.263
N3 0.728 0.500 0.737
N4 0.737 0.000 0.250



4.
The following is a GGA-PBE calculation of a relaxed Ca2CeSnN4 crystal, from the Alexandria database.

Output
Symmetry: P2/m, No. 10
Final energy: -6.728 eV/atom
Total magnetization: 0.00 μB per formula unit
Formation energy (no corrections): -0.8227 eV/atom

abc: 5.945 3.453 6.114
angles: 90.00 110.30 90.00
Positions (direct):
Ca1 0.000 0.000 0.000
Ca2 0.500 0.500 0.000
Ce1 0.000 0.500 0.500
Sn1 0.500 0.000 0.500
N1 0.237 0.000 0.731
N2 0.272 0.500 0.277
N3 0.728 0.500 0.723
N4 0.763 0.000 0.269



5.
The following is a GGA-PBE calculation of a relaxed CaCe2TaN4 crystal, from the Alexandria database.

Output
Symmetry: Imma, No. 74
Final energy: -8.692 eV/atom
Total magnetization: 0.44 μB per formula unit
Formation energy (no corrections): -1.3142 eV/atom

abc: 6.823 6.823 6.823
angles: 121.15 119.25 89.66
Positions (direct):
Ca1 0.000 0.000 0.000
Ca2 0.500 0.000 0.500
Ce1 0.000 0.500 0.500
Ce2 0.500 0.000 0.000
Ce3 0.500 0.500 0.000
Ce4 0.500 0.500 0.500
Ta1 0.000 0.000 0.500
Ta2 0.000 0.500 0.000
N1 0.219 0.250 0.969
N2 0.219 0.750 0.469
N3 0.225 0.232 0.507
N4 0.225 0.719 0.993
N5 0.775 0.281 0.007
N6 0.775 0.768 0.493
N7 0.781 0.250 0.531
N8 0.781 0.750 0.031



6.
The following is a GGA-PBE calculation of a relaxed CaCe2TaN5 crystal, from the Alexandria database.

Output
Symmetry: Cmcm, No. 63
Final energy: -8.759 eV/atom
Total magnetization: 0.00 μB per formula unit
Formation energy (no corrections): -1.2761 eV/atom

abc: 6.961 6.961 11.395
angles: 90.00 90.00 150.23
Positions (direct):
Ca1 0.234 0.766 0.750
Ca2 0.766 0.234 0.250
Ce1 0.364 0.636 0.505
Ce2 0.364 0.636 0.995
Ce3 0.636 0.364 0.005
Ce4 0.636 0.364 0.495
Ta1 0.013 0.987 0.250
Ta2 0.987 0.013 0.750
N1 0.077 0.923 0.618
N2 0.077 0.923 0.882
N3 0.221 0.779 0.092
N4 0.221 0.779 0.408
N5 0.419 0.581 0.750
N6 0.581 0.419 0.250
N7 0.779 0.221 0.592
N8 0.779 0.221 0.908
N9 0.923 0.077 0.118
N10 0.923 0.077 0.382



- Number 6 is which compound?
  CaCe2TaN5



- final energy of number 5 (CaCe2TaN4)?
  -8.692 eV/atom



Copy entry 1 word for word.
The following is a GGA-PBE calculation of a relaxed CaCeSmN3 crystal, from the Alexandria database.

Output
Symmetry: P2_1/m, No. 11
Final energy: -7.426 eV/atom
Total magnetization: 0.00 μB per formula unit
Formation energy (no corrections): -1.1540 eV/atom

abc: 6.087 3.413 9.497
angles: 90.00 92.91 90.00
Positions (direct):
Ca1 0.235 0.250 0.438
Ca2 0.765 0.750 0.562
Ce1 0.280 0.750 0.757
Ce2 0.720 0.250 0.243
Sm1 0.193 0.750 0.118
Sm2 0.807 0.250 0.882
N1 0.034 0.250 0.666
N2 0.218 0.250 0.957
N3 0.482 0.750 0.315
N4 0.518 0.250 0.685
N5 0.782 0.750 0.043
N6 0.966 0.750 0.334